A geometry-optimized ErMgNpO6 structure. Source: Alexandria via LeMat-Bulk, functional GGA-PBE.

raw total energy: -8.20 eV per atom
symmetry: No. 163
density: 7.1 Mg/m³

Structure (extended XYZ):
```
18
Lattice="5.637 0.000 0.000 -2.818 4.881 0.000 0.000 0.000 8.857" Properties=species:S:1:pos:R:3 pbc="T T T"
Er 0.000 3.254 2.214
Er 2.818 1.627 6.643
Mg 0.000 0.000 0.000
Mg 0.000 0.000 4.428
Np 0.000 3.254 6.643
Np 2.818 1.627 2.214
O -0.841 1.735 5.587
O -1.736 3.286 7.698
O 0.841 1.735 7.698
O -0.895 4.742 5.587
O 1.923 0.140 1.158
O 1.082 1.596 3.270
O 1.736 3.286 5.587
O 0.895 4.742 7.698
O 3.713 0.140 3.270
O 1.978 3.146 1.158
O 4.554 1.596 1.158
O 3.659 3.146 3.270
```

A geometry-optimized Er3MgO structure. Source: Alexandria via LeMat-Bulk, functional GGA-PBE.

raw total energy: -5.23 eV per atom
symmetry: No. 221
density: 8.2 Mg/m³

Structure (extended XYZ):
```
5
Lattice="4.781 0.000 0.000 0.000 4.781 0.000 0.000 0.000 4.781" Properties=species:S:1:pos:R:3 pbc="T T T"
Er 0.000 0.000 2.391
Er 0.000 2.391 0.000
Er 2.391 0.000 0.000
Mg 2.391 2.391 2.391
O 0.000 0.000 0.000
```

A geometry-optimized Er2MgO structure. Source: Alexandria via LeMat-Bulk, functional GGA-PBE.

raw total energy: -4.81 eV per atom
symmetry: No. 123
density: 8.1 Mg/m³

Structure (extended XYZ):
```
4
Lattice="3.041 0.000 0.000 0.000 3.041 0.000 0.000 0.000 8.297" Properties=species:S:1:pos:R:3 pbc="T T T"
Er 0.000 0.000 1.540
Er 0.000 0.000 6.757
Mg 1.521 1.521 4.148
O 1.521 1.521 0.000
```

A geometry-optimized Er2MgO structure. Source: Alexandria via LeMat-Bulk, functional GGA-PBE.

raw total energy: -5.29 eV per atom
symmetry: No. 166
density: 7.5 Mg/m³

Structure (extended XYZ):
```
4
Lattice="1.732 1.000 8.024 -1.732 1.000 8.024 0.000 -2.000 8.024" Properties=species:S:1:pos:R:3 pbc="T T T"
Er 0.000 0.000 5.335
Er 0.000 0.000 18.736
Mg 0.000 0.000 0.000
O 0.000 0.000 12.035
```

A geometry-optimized ErMg2OsO8 structure. Source: Alexandria via LeMat-Bulk, functional GGA-PBE.

raw total energy: -6.77 eV per atom
symmetry: No. 65
density: 6.1 Mg/m³

Structure (extended XYZ):
```
12
Lattice="3.265 -3.412 0.000 3.265 3.412 0.000 0.000 0.000 6.504" Properties=species:S:1:pos:R:3 pbc="T T T"
Er 0.000 0.000 0.000
Mg 3.265 0.000 1.685
Mg 3.265 0.000 4.818
Os 0.000 0.000 3.252
O 3.265 2.118 1.901
O 3.265 2.118 4.603
O 1.872 0.000 3.252
O 2.115 0.000 0.000
O 4.415 0.000 0.000
O 4.658 0.000 3.252
O 3.265 -2.118 1.901
O 3.265 -2.118 4.603
```

A geometry-optimized ErMgP2O8 structure. Source: Alexandria via LeMat-Bulk, functional GGA-PBE.

raw total energy: -7.23 eV per atom
symmetry: No. 164
density: 4.2 Mg/m³

Structure (extended XYZ):
```
12
Lattice="5.144 0.000 0.000 -2.572 4.455 0.000 0.000 0.000 6.541" Properties=species:S:1:pos:R:3 pbc="T T T"
Er 0.000 0.000 0.000
Mg 0.000 0.000 3.270
P 0.000 2.970 1.381
P 2.572 1.485 5.160
O 0.000 1.502 1.861
O -1.271 3.704 1.861
O 0.000 2.970 6.379
O 1.301 0.751 4.679
O 1.271 3.704 1.861
O 2.572 1.485 0.162
O 3.843 0.751 4.679
O 2.572 2.953 4.679
```

A geometry-optimized ErMgPtO4 structure. Source: Alexandria via LeMat-Bulk, functional GGA-PBE.

raw total energy: -6.61 eV per atom
symmetry: No. 74
density: 8.0 Mg/m³

Structure (extended XYZ):
```
14
Lattice="-3.160 3.277 4.512 3.160 -3.277 4.512 3.160 3.277 -4.512" Properties=species:S:1:pos:R:3 pbc="T T T"
Er 0.000 0.000 0.000
Er 0.000 3.277 0.000
Mg 3.160 1.638 1.171
Mg 0.000 1.638 3.341
Pt 1.580 1.638 -2.256
Pt 1.580 -1.638 2.256
O 3.160 -0.255 2.212
O 3.160 3.021 -2.212
O 1.470 1.638 0.225
O 1.690 -1.638 4.737
O 1.470 4.915 -0.225
O 1.690 1.638 4.287
O 0.000 0.255 6.724
O 0.000 3.532 2.300
```

A geometry-optimized ErPuMg2O6 structure. Source: Alexandria via LeMat-Bulk, functional GGA-PBE.

raw total energy: -8.10 eV per atom
symmetry: No. 146
density: 7.3 Mg/m³

Structure (extended XYZ):
```
10
Lattice="2.736 1.579 4.884 -2.736 1.579 4.884 0.000 -3.159 4.884" Properties=species:S:1:pos:R:3 pbc="T T T"
Er 0.000 0.000 0.000
Pu 0.000 0.000 7.207
Mg 0.000 0.000 4.141
Mg 0.000 0.000 11.581
O -1.608 -0.105 5.780
O -1.065 -1.614 8.178
O 0.895 -1.340 5.780
O -0.865 1.729 8.178
O 0.713 1.445 5.780
O 1.930 -0.116 8.178
```

A geometry-optimized Er2PuMgO8 structure. Source: Alexandria via LeMat-Bulk, functional GGA-PBE.

raw total energy: -8.10 eV per atom
symmetry: No. 10
density: 7.2 Mg/m³

Structure (extended XYZ):
```
12
Lattice="4.954 0.000 0.000 0.000 6.856 0.000 -0.217 0.000 4.950" Properties=species:S:1:pos:R:3 pbc="T T T"
Er 0.000 1.615 0.000
Er 0.000 5.241 0.000
Pu 2.369 3.428 2.475
Mg 2.369 0.000 2.475
O 0.980 0.000 1.029
O 0.991 3.428 1.046
O 1.428 1.924 3.383
O 1.428 4.932 3.383
O 3.310 1.924 1.567
O 3.310 4.932 1.567
O 3.747 3.428 3.904
O 3.758 0.000 3.921
```

A geometry-optimized ErPuMgO6 structure. Source: Alexandria via LeMat-Bulk, functional GGA-PBE.

raw total energy: -8.34 eV per atom
symmetry: No. 163
density: 7.4 Mg/m³

Structure (extended XYZ):
```
18
Lattice="5.344 0.000 0.000 -2.672 4.628 0.000 0.000 0.000 9.691" Properties=species:S:1:pos:R:3 pbc="T T T"
Er 0.000 0.000 0.000
Er 0.000 0.000 4.845
Pu 0.000 3.086 2.423
Pu 2.672 1.543 7.268
Mg 0.000 3.086 7.268
Mg 2.672 1.543 2.423
O -0.877 1.643 1.320
O -1.687 3.048 3.525
O 0.877 1.643 3.525
O -0.811 4.566 1.320
O 1.861 0.062 6.166
O 0.985 1.581 8.371
O 1.687 3.048 1.320
O 0.811 4.566 3.525
O 3.483 0.062 8.371
O 1.796 2.985 6.166
O 4.360 1.581 6.166
O 3.549 2.985 8.371
```

A geometry-optimized RbErMgO3 structure. Source: Alexandria via LeMat-Bulk, functional GGA-PBE.

raw total energy: -6.26 eV per atom
symmetry: No. 11
density: 4.6 Mg/m³

Structure (extended XYZ):
```
12
Lattice="7.468 0.000 0.000 0.000 3.549 0.000 -3.403 0.000 8.922" Properties=species:S:1:pos:R:3 pbc="T T T"
Rb -0.819 0.887 2.836
Rb 4.885 2.662 6.086
Er 1.262 2.662 5.679
Er 2.804 0.887 3.243
Mg 0.240 0.887 7.908
Mg 3.826 2.662 1.014
O -0.213 0.887 5.978
O 1.367 2.662 3.468
O 2.961 0.887 0.879
O 1.104 2.662 8.043
O 2.699 0.887 5.454
O 4.279 2.662 2.944
```

A geometry-optimized ErMgRhO4 structure. Source: Alexandria via LeMat-Bulk, functional GGA-PBE.

raw total energy: -7.01 eV per atom
symmetry: No. 74
density: 6.7 Mg/m³

Structure (extended XYZ):
```
14
Lattice="-3.176 3.253 4.286 3.176 -3.253 4.286 3.176 3.253 -4.286" Properties=species:S:1:pos:R:3 pbc="T T T"
Er 0.000 0.000 0.000
Er 0.000 3.253 0.000
Mg 3.176 1.627 0.955
Mg 0.000 1.627 3.331
Rh 1.588 1.627 -2.143
Rh 1.588 -1.627 2.143
O 3.176 -0.203 2.026
O 3.176 3.050 -2.026
O 1.498 1.627 -0.033
O 1.678 -1.627 4.253
O 1.498 4.880 0.033
O 1.678 1.627 4.320
O 0.000 0.203 6.312
O 0.000 3.457 2.260
```

A geometry-optimized ErMgTe2O8 structure. Source: Alexandria via LeMat-Bulk, functional GGA-PBE.

raw total energy: -5.98 eV per atom
symmetry: No. 119
density: 5.5 Mg/m³

Structure (extended XYZ):
```
12
Lattice="-3.584 3.584 3.350 3.584 -3.584 3.350 3.584 3.584 -3.350" Properties=species:S:1:pos:R:3 pbc="T T T"
Er 0.000 0.000 0.000
Mg 0.000 3.584 1.675
Te 3.584 0.000 1.675
Te 0.000 0.000 3.350
O 2.232 0.000 0.365
O 4.935 0.000 0.365
O 3.584 2.210 -1.313
O 3.584 -1.351 2.985
O 0.000 1.373 2.037
O 3.584 1.351 2.985
O 2.210 3.584 1.313
O 1.373 0.000 4.663
```

A geometry-optimized Er2MgTiO6 structure. Source: Alexandria via LeMat-Bulk, functional GGA-PBE.

raw total energy: -8.14 eV per atom
symmetry: No. 14
density: 7.3 Mg/m³

Structure (extended XYZ):
```
20
Lattice="5.290 0.000 0.000 0.000 5.609 0.000 -5.241 0.000 7.673" Properties=species:S:1:pos:R:3 pbc="T T T"
Er -0.093 0.383 1.899
Er -2.713 2.421 5.736
Er 2.762 3.187 1.937
Er 0.142 5.225 5.774
Mg -2.620 0.000 3.837
Mg 0.000 2.804 0.000
Ti 2.645 0.000 0.000
Ti 0.025 2.804 3.837
O -4.190 1.052 7.227
O -1.570 1.752 3.390
O -3.573 3.943 7.167
O -0.953 4.470 3.330
O -1.969 0.265 5.812
O 0.651 2.539 1.975
O -0.602 3.070 5.698
O 2.018 5.343 1.861
O 1.002 1.139 4.344
O 3.622 1.666 0.507
O 1.619 3.856 4.283
O 4.239 4.556 0.446
```